# 1
Entry from the Alexandria database: an optimized crystal structure of LiMnAu2 (PBE).

a b c (Å): 5.034 5.034 5.034
angles (deg): 134.45 134.34 66.48
Last column: magnetic moment on the atom in μB.
Atoms (fractional coordinates):
Mn (0.250, 0.750, 0.500)  3.94
Au (0.000, 0.000, 0.000)  0.03
Au (0.750, 0.250, 0.500)  0.05
Li (0.500, 0.500, 0.000)  -0.02

Output
SG = I-4m2
E_form = -1.015 eV/f.u.

# 2
Entry from the Alexandria database: an optimized crystal structure of Li2MnAuN (PBE).

a b c (Å): 4.069 4.069 3.636
angles (deg): 90.00 90.00 90.00
Last column: magnetic moment on the atom in μB.
Atoms (fractional coordinates):
Mn (0.000, 0.000, 0.500)  1.81
Au (0.500, 0.500, 0.500)  0.00
Li (0.000, 0.500, 0.000)  -0.01
Li (0.500, 0.000, 0.000)  -0.01
N (0.000, 0.000, 0.000)  -0.09

Output
SG = P4/mmm
Formation energy (no corrections) = -381 meV/atom